[1]
A plane-wave DFT calculation with GGA-PBE was carried out for a relaxed structure of CrCuMo.

Cell and atoms, written as CIF:
```
data_CrCuMo
_chemical_formula_sum 'Cr2 Cu2 Mo2'
_space_group_name_H-M_alt 'I 4 m m'
_space_group_IT_number 107
_space_group_name_Hall 'I 4 -2'
_cell_length_a 2.5400
_cell_length_b 2.5400
_cell_length_c 12.4192
_cell_angle_alpha 90.00
_cell_angle_beta 90.00
_cell_angle_gamma 90.00
loop_
_atom_site_label
_atom_site_type_symbol
_atom_site_fract_x
_atom_site_fract_y
_atom_site_fract_z
_atom_site_occupancy
Cr1 Cr 0.0000 0.0000 0.0000 1
Cu1 Cu 0.0000 0.0000 0.6527 1
Mo1 Mo 0.0000 0.0000 0.3234 1
```

## Properties
As for the energy: -7.87 eV per atom. As for the energy above the most stable polymorph in this dataset: 48 meV per atom. The formation energy is 0.313 eV per atom.



[2]
A plane-wave DFT calculation with GGA-PBE was carried out for a relaxed structure of CrCuMo.

Cell and atoms, written as CIF:
```
data_CrCuMo
_chemical_formula_sum 'Cr1 Cu1 Mo1'
_space_group_name_H-M_alt 'P 3 m 1'
_space_group_IT_number 156
_cell_length_a 4.2972
_cell_length_b 4.2972
_cell_length_c 2.5022
_cell_angle_alpha 90.00
_cell_angle_beta 90.00
_cell_angle_gamma 120.00
loop_
_space_group_symop_operation_xyz
'x,y,z'
'-y,x-y,z'
'-x+y,-x,z'
'-y,-x,z'
'-x+y,y,z'
'x,x-y,z'
loop_
_atom_site_label
_atom_site_type_symbol
_atom_site_fract_x
_atom_site_fract_y
_atom_site_fract_z
_atom_site_occupancy
Cr1 Cr 0.0000 0.0000 0.0000 1
Cu1 Cu 0.6667 0.3333 0.3001 1
Mo1 Mo 0.3333 0.6667 0.7047 1
```

## Properties
As for the energy: -7.90 eV per atom. As for the energy above the most stable polymorph in this dataset: 15 meV per atom. The formation energy is 0.281 eV per atom.



[3]
A plane-wave DFT calculation with GGA-PBE was carried out for a relaxed structure of CrCu2Mo.

Cell and atoms, written as CIF:
```
data_CrCu2Mo
_chemical_formula_sum 'Cr3 Cu6 Mo3'
_space_group_name_H-M_alt 'R 3 m'
_space_group_IT_number 160
_space_group_name_Hall 'R 3 -2"'
_cell_length_a 2.6272
_cell_length_b 2.6272
_cell_length_c 26.5293
_cell_angle_alpha 90.00
_cell_angle_beta 90.00
_cell_angle_gamma 120.00
loop_
_atom_site_label
_atom_site_type_symbol
_atom_site_fract_x
_atom_site_fract_y
_atom_site_fract_z
_atom_site_occupancy
Cr1 Cr 0.0000 0.0000 0.0000 1
Cu1 Cu 0.0000 0.0000 0.4919 1
Cu2 Cu 0.0000 0.0000 0.7463 1
Mo1 Mo 0.0000 0.0000 0.2459 1
```

## Properties
As for the energy: -6.84 eV per atom. As for the energy above the most stable polymorph in this dataset: 122 meV per atom. The formation energy is 0.327 eV per atom.



[4]
A plane-wave DFT calculation with GGA-PBE was carried out for a relaxed structure of CrCu2Mo.

Cell and atoms, written as CIF:
```
data_CrCu2Mo
_chemical_formula_sum 'Cr1 Cu2 Mo1'
_space_group_name_H-M_alt 'P 4/m m m'
_space_group_IT_number 123
_space_group_name_Hall '-P 4 2'
_cell_length_a 3.5266
_cell_length_b 3.5266
_cell_length_c 4.1464
_cell_angle_alpha 90.00
_cell_angle_beta 90.00
_cell_angle_gamma 90.00
loop_
_atom_site_label
_atom_site_type_symbol
_atom_site_fract_x
_atom_site_fract_y
_atom_site_fract_z
_atom_site_occupancy
Cr1 Cr 0.0000 0.0000 0.0000 1
Cu1 Cu 0.0000 0.5000 0.5000 1
Mo1 Mo 0.5000 0.5000 0.0000 1
```

## Properties
As for the energy: -6.91 eV per atom. As for the energy above the most stable polymorph in this dataset: 47 meV per atom. The formation energy is 0.251 eV per atom.